one | Material: CsSnN
Method: DFT, PBE
State: optimized geometry

For the magnetization, the calculation gives 0.0000 μB per atom.

```
CsSnN
1.0
0.3758 3.4928 -0.7368
-0.6889 -1.0617 3.3589
13.1117 -0.9038 2.4034
Cs N Sn
2 2 2
Cartesian
9.8618 1.2963 2.4323 Cs
2.9511 0.2300 2.5958 Cs
7.3422 -0.0727 3.4007 N
1.1413 1.8974 0.8338 N
0.1134 -0.0078 0.0208 Sn
6.6693 -0.4597 1.2225 Sn
```


two | Material: CsSnN
Method: DFT, PBE
State: optimized geometry

For the magnetization, the calculation gives 0.0000 μB per atom.

```
CsSnN
1.0
-0.4614 -5.1671 -5.0220
4.4505 -3.2341 -4.6772
1.8905 -5.3845 3.2608
Sn Cs N
2 2 2
Cartesian
3.1471 -5.8503 -0.8129 Sn
2.1843 -3.1224 -2.3921 Sn
0.8434 -6.6373 -4.1574 Cs
4.5190 -8.8841 -3.3378 Cs
3.2997 -6.5842 1.1329 N
2.3721 -3.9417 -0.4741 N
```


Of all the structures shown, which is most stable? two, and one is the least stable.